Computed, not measured: Co5Ni2Rh4 after structural relaxation at the PBE level of DFT.

a = 16.152 Å, b = 2.628 Å, c = 6.541 Å
α = 90.00°, β = 91.61°, γ = 90.00°
Space group C2/m (No. 12)
Inequivalent atoms, fractional coordinates:
1 Co 0.000 0.000 0.000
2 Co 0.125 0.500 0.099
3 Co 0.188 0.500 0.450
4 Ni 0.057 0.000 0.370
5 Rh 0.077 0.500 0.719
6 Rh 0.237 0.500 0.824

Results
spin magnetization	26.5	μB/cell
Fermi-level density of states	31.36	states/eV per cell
V	12.6	A^3/atom
energy of formation from the pure elements	0.12	eV/atom